Below is Sr2InPd2 after structural relaxation, with properties calculated at the PBE level.

Properties
formation enthalpy at 0 K = -165 kJ/mol of formula units
E = -3.64 eV per atom

a = 3.8523 Å, b = 3.8523 Å, c = 19.1775 Å
α = 90.00°, β = 90.00°, γ = 90.00°
Positions (direct):
Sr (0.0000, 0.0000, 0.1232)
Sr (0.0000, 0.0000, 0.8768)
Sr (0.5000, 0.5000, 0.3768)
Sr (0.5000, 0.5000, 0.6232)
In (0.0000, 0.0000, 0.5000)
In (0.5000, 0.5000, 0.0000)
Pd (0.0000, 0.5000, 0.2500)
Pd (0.0000, 0.5000, 0.7500)
Pd (0.5000, 0.0000, 0.2500)
Pd (0.5000, 0.0000, 0.7500)